Entry 1:
{
  "formula": "SmPa3",
  "functional": "PBE",
  "state": "relaxed",
  "cell": [[-0.1514, -4.2023, -2.1682], [4.7162, -0.2915, 0.2357], [-0.3430, -2.1538, 4.1984]],
  "species": ["Pa", "Pa", "Pa", "Sm"],
  "fractional_positions": [[0.5000, 0.5000, 0.0000], [0.5000, 0.0000, 0.5000], [0.0000, 0.5000, 0.5000], [0.0000, 0.0000, 0.0000]],
  "e_above_lowest_polymorph_mev_per_atom": 23,
  "space_group": "Pm-3m, No. 221",
  "magmom_total_mub_per_fu": 0.00,
  "e_tot_ha_per_atom": -0.29680,
  "formation_energy_ev_per_atom": 0.23
}

---

Entry 2:
{
  "formula": "SmPa2",
  "functional": "PBE",
  "state": "relaxed",
  "cell": [[-1.3635, -1.1556, -5.9125], [4.0609, -2.9714, -3.5821], [-1.1506, -5.7861, -1.8301]],
  "species": ["Pa", "Pa", "Pa", "Pa", "Sm", "Sm"],
  "fractional_positions": [[0.6250, 0.6250, 0.1250], [0.6250, 0.6250, 0.6250], [0.6250, 0.1250, 0.6250], [0.1250, 0.6250, 0.6250], [0.2500, 0.2500, 0.2500], [0.0000, 0.0000, 0.0000]],
  "e_above_lowest_polymorph_mev_per_atom": 55,
  "space_group": "Fd-3m, No. 227",
  "magmom_total_mub_per_fu": 0.00,
  "e_tot_ha_per_atom": -0.28157,
  "formation_energy_ev_per_atom": 0.24
}

---

Entry 3:
{
  "formula": "SmPa4",
  "functional": "PBE",
  "state": "relaxed",
  "cell": [[-2.5603, 3.2444, -3.4323], [1.2280, -3.3126, -4.0473], [-4.5605, -2.7133, 0.8371]],
  "species": ["Pa", "Pa", "Pa", "Pa", "Sm"],
  "fractional_positions": [[0.5000, 0.5000, 0.0000], [0.0000, 0.0000, 0.0000], [0.5000, 0.0000, 0.5000], [0.0000, 0.5000, 0.5000], [0.5000, 0.5000, 0.5000]],
  "space_group": "Pm-3m, No. 221",
  "magmom_total_mub_per_fu": 0.88,
  "e_tot_ha_per_atom": -0.25874,
  "formation_energy_ev_per_atom": 1.50
}